Below is a relaxed structure of K2Sn3PdPt4, with properties calculated at the PBE-GGA level.

Cell and atoms, written as POSCAR:
```
K2Sn3PdPt4
1.0
4.534 0.000 0.000
0.000 4.534 0.000
0.000 0.000 11.203
K Sn Pd Pt
2 3 1 4
Cartesian
0.000 2.267 2.728 K
2.267 0.000 8.475 K
0.000 0.000 0.000 Sn
0.000 2.267 7.053 Sn
2.267 0.000 4.149 Sn
2.267 2.267 0.000 Pd
0.000 0.000 5.601 Pt
0.000 2.267 9.693 Pt
2.267 0.000 1.510 Pt
2.267 2.267 5.601 Pt
```

Calculated density, g cm⁻³: 9.53
Space group: P-4m2 (115)
ΔH_f (0 K), eV per atom: -0.3696
Spin magnetization, μB/atom: 0.000
E, eV per atom: -4.726
Fermi-level density of states, states/eV/f.u.: 5.11